A plane-wave DFT calculation with PBE-GGA was carried out for a relaxed structure of RbCeZnS3.

Cell lengths 4.1358, 9.1894, 9.6850 Å; angles 106.75, 90.00, 90.00 degrees
Fractional coordinates of all 12 atoms:
Rb 0.2500 0.1998 0.2296
Rb 0.7500 0.8002 0.7704
Ce 0.2500 0.6662 0.1491
Ce 0.7500 0.3338 0.8509
Zn 0.2500 0.0829 0.6079
Zn 0.7500 0.9171 0.3921
S 0.7500 0.8810 0.1469
S 0.2500 0.1190 0.8531
S 0.2500 0.8193 0.4685
S 0.7500 0.1807 0.5315
S 0.7500 0.4587 0.1514
S 0.2500 0.5413 0.8486

## Properties
As for the formation energy from raw total energies: -820.4 kJ/mol of formula units. As for the space group: P2_1/m, No. 11.

A plane-wave DFT calculation with PBE-GGA was carried out for a relaxed structure of NaSrBe2.

Cell lengths 5.0897, 5.0897, 5.0897 Å; angles 60.00, 60.00, 60.00 degrees
Fractional coordinates of all 4 atoms:
Sr 0.5000 0.5000 0.5000
Be 0.2500 0.2500 0.2500
Be 0.7500 0.7500 0.7500
Na 0.0000 0.0000 0.0000

## Properties
The energy above the most stable polymorph in this dataset is 70 meV/atom. As for the calculated formation energy: 768 meV/atom. As for the space group: Fm-3m, No. 225.

A plane-wave DFT calculation with PBE-GGA was carried out for a relaxed structure of Th4Sb2SeS.

Cell lengths 4.3320, 7.4429, 7.5074 Å; angles 70.41, 90.00, 90.00 degrees
Fractional coordinates of all 8 atoms:
Th 0.0000 0.7169 0.7698
Th 0.0000 0.2831 0.2302
Th 0.5000 0.7210 0.2496
Th 0.5000 0.2790 0.7504
Sb 0.0000 0.0000 0.0000
Sb 0.5000 0.0000 0.5000
Se 0.0000 0.5000 0.5000
S 0.5000 0.5000 0.0000

## Properties
As for the formation energy from raw total energies: -987.8 kJ/mol of formula units. As for the space group: P2/m, No. 10.